## KPt2 (GGA-PBEsol)

Data for an optimized crystal structure of KPt2.

SG ... Immm (71)
D(E_F) ... 1.60 states/eV/f.u.
Magnetization ... 0.00 μB/f.u.
Energy of formation ... -0.06 eV per atom

abc: 2.723 4.359 6.169
angles: 110.69 102.75 90.00
Fractional coordinates of all 3 atoms:
K1 0.000 0.000 0.000
Pt1 0.269 0.269 0.539
Pt2 0.731 0.731 0.461